[1]
# Li2AcHgAu2

A relaxed structure of Li2AcHgAu2 (PBE-GGA, the Alexandria database).

```
Li2AcHgAu2
1.0
4.651 0.000 0.000
-2.325 4.028 0.000
0.000 0.000 7.107
Li Au Hg Ac
2 2 1 1
direct
0.667 0.333 0.359
0.333 0.667 0.641
0.667 0.333 0.737
0.333 0.667 0.263
0.000 0.000 0.500
0.000 0.000 0.000
```

crystal system = trigonal
DFT formation energy = -0.585 eV per atom
density of states at the Fermi level = 2.8 states/eV per cell
DFT total energy = -3.0508 eV per atom

***

[2]
# ZnAsCl6

A relaxed structure of ZnAsCl6 (PBE-GGA, the Alexandria database).

```
ZnAsCl6
1.0
-2.317 -3.865 4.364
2.896 -5.424 1.243
3.280 -0.557 5.757
Cl Zn As
6 1 1
direct
0.898 0.610 0.250
0.391 0.757 0.750
0.102 0.390 0.750
0.243 0.898 0.250
0.609 0.243 0.250
0.757 0.102 0.750
0.500 0.500 0.500
0.000 0.000 0.000
```

crystal system = trigonal
formation energy (no corrections) = -0.583 eV/atom
density of states at the Fermi level = 6.2 states/eV per cell
DFT total energy = -2.7083 eV per atom

***

[3]
# CsRuPt3

A relaxed structure of CsRuPt3 (PBE-GGA, the Alexandria database).

```
CsRuPt3
1.0
5.124 0.000 0.000
0.000 5.124 0.000
0.000 0.000 5.124
Pt Cs Ru
3 1 1
direct
0.500 0.000 0.000
0.000 0.500 0.000
0.000 0.000 0.500
0.000 0.000 0.000
0.500 0.500 0.500
```

distance to the lowest polymorph of the same formula = 1788 meV per atom
crystal system = cubic
DFT formation energy = 2.653 eV per atom
density of states at the Fermi level = 2.8 states/eV per cell
DFT total energy = -2.9978 eV per atom

***

[4]
# AlRh

A relaxed structure of AlRh (PBE-GGA, the Alexandria database).

```
AlRh
1.0
-3.204 4.461 -0.552
-4.554 -2.833 -3.766
-1.529 1.503 5.430
Al Rh
6 6
direct
0.923 0.557 0.262
0.327 0.693 0.988
0.912 0.070 0.530
0.334 0.218 0.253
0.916 0.032 0.997
0.338 0.180 0.720
0.218 0.752 0.504
0.641 0.377 0.495
0.618 0.382 0.010
0.032 0.498 0.746
0.632 0.868 0.240
0.609 0.873 0.755
```

crystal system = triclinic
DFT formation energy = -0.769 eV per atom
density of states at the Fermi level = 5.0 states/eV per cell
DFT total energy = -6.3163 eV per atom

***

[5]
# Y2BePPt6

A relaxed structure of Y2BePPt6 (PBE-GGA, the Alexandria database).

```
Y2BePPt6
1.0
-4.720 -1.817 2.383
-3.157 -0.895 -6.935
2.918 -7.971 -0.300
Pt Be Y P
12 2 4 2
direct
0.749 0.012 0.000
0.759 0.498 0.500
0.000 0.865 0.248
0.741 0.502 0.000
0.000 0.865 0.752
0.241 0.498 0.500
0.249 0.988 0.500
0.500 0.135 0.252
0.259 0.502 0.000
0.251 0.012 0.000
0.751 0.988 0.500
0.500 0.135 0.748
0.500 0.255 0.000
0.000 0.745 0.500
0.500 0.732 0.741
0.500 0.732 0.259
0.000 0.268 0.241
0.000 0.268 0.759
0.500 0.263 0.500
0.000 0.737 0.000
```

crystal system = orthorhombic
DFT formation energy = -0.919 eV per atom
density of states at the Fermi level = 5.0 states/eV per cell
DFT total energy = -6.7503 eV per atom

***

[6]
# TbNdSi2Pt2

A relaxed structure of TbNdSi2Pt2 (PBE-GGA, the Alexandria database).

```
TbNdSi2Pt2
1.0
-0.739 2.760 3.034
-2.026 -3.642 -0.043
6.068 -3.430 4.596
Pt Nd Si Tb
2 1 2 1
direct
0.333 0.667 0.739
0.667 0.333 0.261
0.000 0.000 0.000
0.333 0.667 0.255
0.667 0.333 0.745
0.000 0.000 0.500
```

crystal system = trigonal
formation energy (no corrections) = -1.134 eV/atom
density of states at the Fermi level = 4.6 states/eV per cell
DFT total energy = -6.5214 eV per atom

***

[7]
# K3Pm3VSe8

A relaxed structure of K3Pm3VSe8 (PBE-GGA, the Alexandria database).

```
K3Pm3VSe8
1.0
8.323 0.000 0.000
-4.161 7.208 -0.030
0.000 -4.772 7.890
Pm Se K V
3 8 3 1
direct
0.500 0.000 0.500
0.500 0.500 0.500
0.000 0.500 0.500
0.788 0.575 0.309
0.212 0.979 0.691
0.766 0.979 0.691
0.262 0.525 0.287
0.788 0.021 0.309
0.738 0.475 0.713
0.212 0.425 0.691
0.234 0.021 0.309
0.000 0.000 0.000
0.500 0.500 0.000
0.000 0.500 0.000
0.000 0.000 0.500
```

crystal system = trigonal
formation energy (no corrections) = -1.453 eV/atom
density of states at the Fermi level = 6.3 states/eV per cell
DFT total energy = -5.0892 eV per atom

***

[8]
# ZrTc3P

A relaxed structure of ZrTc3P (PBE-GGA, the Alexandria database).

```
ZrTc3P
1.0
-3.823 0.904 2.725
-2.577 -3.081 -2.594
1.266 -3.543 2.951
Tc P Zr
3 1 1
direct
0.000 0.000 0.500
0.500 0.000 0.000
0.000 0.500 0.000
0.500 0.500 0.500
0.000 0.000 0.000
```

distance to the lowest polymorph of the same formula = 2254 meV per atom
crystal system = cubic
DFT formation energy = 2.206 eV per atom
density of states at the Fermi level = 6.8 states/eV per cell
DFT total energy = -6.8055 eV per atom